Material: TlCd2In
Method: DFT, meta-GGA SCAN
State: PBEsol geometry

```
TlCd2In
1.0
3.391 0.000 0.000
0.000 4.736 0.000
-1.690 0.000 6.045
Tl Cd In
1 2 1
Cartesian
0.000 0.000 0.000 Tl
1.700 2.368 1.181 Cd
1.672 0.000 2.941 Cd
-0.017 2.368 4.052 In
```

Output
Density of states at the Fermi level: 1.83 states/eV/cell
ρ: 9.3 Mg/m³
Excess energy over the best structure of this formula in the dataset: 0.024 eV/atom
Crystal system: monoclinic
Spin magnetization: 0.00 μB/atom
Energy of formation: 0.310 eV per formula unit

Material: TlCdIn2
Method: DFT, meta-GGA SCAN
State: PBEsol geometry

```
TlCdIn2
1.0
1.637 0.945 10.766
-1.637 0.945 10.766
0.000 -1.890 10.766
Tl Cd In
1 1 2
Cartesian
0.000 0.000 0.000 Tl
0.000 0.000 16.149 Cd
0.000 0.000 7.927 In
0.000 0.000 24.370 In
```

Output
Density of states at the Fermi level: 1.64 states/eV/cell
ρ: 9.1 Mg/m³
Crystal system: trigonal
Spin magnetization: 0.00 μB/atom
Energy of formation: 0.263 eV per formula unit

Material: TlCd2In
Method: DFT, meta-GGA SCAN
State: PBEsol geometry

```
TlCd2In
1.0
-1.540 2.777 5.684
1.540 -2.777 5.684
1.540 2.777 -5.684
Tl Cd In
1 2 1
Cartesian
0.000 0.000 0.000 Tl
1.540 0.000 2.913 Cd
0.000 0.000 5.499 Cd
0.000 2.777 2.587 In
```

Output
Density of states at the Fermi level: 1.36 states/eV/cell
ρ: 9.3 Mg/m³
Excess energy over the best structure of this formula in the dataset: 0.022 eV/atom
Crystal system: orthorhombic
Spin magnetization: 0.00 μB/atom
Energy of formation: 0.300 eV per formula unit

Among the records above, which one has the lowest ρ?
TlCdIn2

Which of these has the lowest energy of formation?
TlCdIn2